Below is crystalline Ho3Pu2UP6 at its relaxed geometry, with properties calculated at the PBE level.

Results
ΔE_f ... -1.341 eV/atom
DOS at the Fermi energy ... 53.4 states/eV/cell
Total magnetization ... 8.37 μB/f.u.

Lattice parameters (Å, degrees): 17.293 3.974 7.945 90.00 102.85 90.00
Space group C2/m (No. 12)
One atom of each set of equivalent atoms:
Ho: 0.000 0.000 0.000
Ho: 0.167 0.500 0.332
Pu: 0.167 0.500 0.834
U: 0.000 0.000 0.500
P: 0.000 0.500 0.256
P: 0.164 0.000 0.582
P: 0.167 0.000 0.080

---

Below is crystalline BaAsH at its relaxed geometry, with properties calculated at the PBE level.

Results
DOS at the Fermi energy ... 0.0 states/eV/cell
Total magnetization ... 0.00 μB/f.u.
VASP energy ... -4.04 eV/atom

Lattice parameters (Å, degrees): 4.641 5.061 6.863 90.00 97.09 90.00
Space group P2_1/m (No. 11)
One atom of each set of equivalent atoms:
Ba: 0.243 0.250 0.254
As: 0.262 0.250 0.758
H: 0.030 0.750 0.384

---

Below is crystalline La2MgTl at its relaxed geometry, with properties calculated at the PBE level.

Results
ΔE_f ... -0.086 eV/atom
DOS at the Fermi energy ... 14.1 states/eV/cell
Total magnetization ... 0.00 μB/f.u.

Lattice parameters (Å, degrees): 3.6368 3.6368 33.5606 90.00 90.00 120.00
Space group R-3m (No. 166, hexagonal axes)
One atom of each set of equivalent atoms:
La: 0.0000 0.0000 0.2490
Mg: 0.0000 0.0000 0.5000
Tl: 0.0000 0.0000 0.0000

---

Below is crystalline RePt4Rh2 at its relaxed geometry, with properties calculated at the PBE level.

Results
ΔE_f ... 0.168 eV/atom
DOS at the Fermi energy ... 20.1 states/eV/cell
Total magnetization ... 0.00 μB/f.u.

Lattice parameters (Å, degrees): 4.658 17.584 2.704 90.00 90.00 90.00
Space group Cmmm (No. 65)
One atom of each set of equivalent atoms:
Re: 0.000 0.000 0.000
Pt: 0.000 0.133 0.500
Pt: 0.000 0.423 0.000
Rh: 0.000 0.284 0.500

---

Below is crystalline Nd2ScGe at its relaxed geometry, with properties calculated at the PBE level.

Results
ΔE_f ... 0.064 eV/atom
DOS at the Fermi energy ... 16.1 states/eV/cell
Total magnetization ... 0.00 μB/f.u.

Lattice parameters (Å, degrees): 3.4871 3.4871 33.0528 90.00 90.00 120.00
Space group R-3m (No. 166, hexagonal axes)
One atom of each set of equivalent atoms:
Nd: 0.0000 0.0000 0.0972
Sc: 0.0000 0.0000 0.0000
Ge: 0.0000 0.0000 0.5000

---

Below is crystalline SrPm2Sm at its relaxed geometry, with properties calculated at the PBE level.

Results
ΔE_f ... 0.095 eV/atom
DOS at the Fermi energy ... 16.9 states/eV/cell
Total magnetization ... 0.00 μB/f.u.

Lattice parameters (Å, degrees): 3.7466 3.7466 37.1979 90.00 90.00 120.00
Space group R3m (No. 160, hexagonal axes)
One atom of each set of equivalent atoms:
Sr: 0.0000 0.0000 0.0000
Pm: 0.0000 0.0000 0.2446
Pm: 0.0000 0.0000 0.4230
Sm: 0.0000 0.0000 0.8342

---

Q: Look up the total magnetization of the second one.
A: 0.00 μB/f.u.

---

Q: Which formula does entry 6 have?
A: SrPm2Sm